GGA-PBE Nd2HoP3Rh12, optimized geometry; calculated total energy = -124.7 eV/cell; symmetry = R-3m; spin magnetization = 0.0 μB/cell; E_form = -0.340 eV per atom; volume = 303.4 Å³/cell
1.0
-6.1221 2.2013 1.8210
-2.1693 -5.8895 2.4999
1.5918 1.3174 6.4322
Nd Ho P Rh
2 1 3 12
direct
0.6268 0.6268 0.6268
0.3732 0.3732 0.3732
0.0000 0.0000 0.0000
0.5000 0.0000 0.0000
0.0000 0.5000 0.0000
0.0000 0.0000 0.5000
0.3652 0.3652 0.9115
0.8230 0.8230 0.3346
0.3346 0.8230 0.8230
0.9115 0.3652 0.3652
0.8230 0.3346 0.8230
0.3652 0.9115 0.3652
0.6348 0.6348 0.0885
0.1770 0.1770 0.6654
0.6654 0.1770 0.1770
0.0885 0.6348 0.6348
0.1770 0.6654 0.1770
0.6348 0.0885 0.6348